(1)
K2YTc | PBE-GGA | optimized geometry

Calculated values
- theoretical density (g cm⁻³) = 2.97
- M_tot (μB/atom) = 0.0000
- energy of formation from the pure elements (meV/atom) = 603
- relative energy among the computed polymorphs (meV per atom) = 0

Lattice parameters (Å, degrees): 3.6883 3.6900 10.9051 90.00 90.24 90.00
With the nearest neighbours (Å) after each atom.
Space group Pm (No. 6)
Inequivalent atoms, fractional coordinates:
K  0.0000  0.0000  0.0000  1 Y 3.60, 4 Tc 3.61-3.62, 4 K 3.69
K  0.4963  0.5000  0.3783  4 K 3.69, 4 Y 4.11
Y  0.9972  0.0000  0.6696  4 Tc 2.83
Tc  0.4987  0.5000  0.7705  4 Y 2.83

(2)
Pm3Mg7Cd2 | PBE-GGA | optimized geometry

Calculated values
- theoretical density (g cm⁻³) = 4.33
- M_tot (μB/atom) = 0.0005
- energy of formation from the pure elements (meV/atom) = -78

Lattice parameters (Å, degrees): 4.9951 4.0096 16.0927 90.00 98.92 90.00
With the nearest neighbours (Å) after each atom.
Space group P2/m (No. 10)
Inequivalent atoms, fractional coordinates:
Pm  0.0000  0.0000  0.0000  8 Mg 3.20-3.21
Pm  0.3210  0.5000  0.6431  4 Cd 3.42, 8 Mg 3.57-3.69
Mg  0.0794  0.5000  0.1573  2 Cd 2.82
Mg  0.2285  0.0000  0.4570  1 Cd 2.79, 2 Mg 2.85
Mg  0.4181  0.0000  0.8376  2 Cd 3.13-3.14, 6 Mg 3.20-3.27
Mg  0.5000  0.5000  0.0000  4 Pm 3.20, 8 Mg 3.27-3.54
Cd  0.1412  0.0000  0.2817  3 Mg 2.79-2.82

(3)
LiSnB | PBE-GGA | optimized geometry

Calculated values
- theoretical density (g cm⁻³) = 4.13
- M_tot (μB/atom) = 0.0000
- energy of formation from the pure elements (meV/atom) = 23
- relative energy among the computed polymorphs (meV per atom) = 113

Lattice parameters (Å, degrees): 8.6156 3.1317 8.7354 90.00 111.48 90.00
With the nearest neighbours (Å) after each atom.
Space group Cm (No. 8)
Inequivalent atoms, fractional coordinates:
Li  0.0000  0.0000  0.0000  1 B 2.23
Li  0.1780  0.0000  0.7644  2 B 2.26-2.27
Sn  0.2199  0.5000  0.4353  1 B 2.45
Sn  0.3569  0.0000  0.2022  3 Li 2.93-2.95, 5 Sn 3.04-3.13
B  0.4040  0.5000  0.7263  2 B 1.59
B  0.4366  0.0000  0.7511  2 B 1.59

(4)
CsPrBe2F8 | PBE-GGA | optimized geometry

Calculated values
- formation energy without anion corrections (eV/f.u.) = -41.665
- theoretical density (g cm⁻³) = 3.54
- M_tot (μB/atom) = 0.0111

Lattice parameters (Å, degrees): 5.2946 5.2946 25.7540 90.00 90.00 120.00
With the nearest neighbours (Å) after each atom.
Space group R-3 (No. 148, hexagonal axes)
Inequivalent atoms, fractional coordinates:
Cs  0.0000  0.0000  0.0000  12 F 3.16-3.53
Pr  0.0000  0.0000  0.5000  6 F 2.32
Be  0.0000  0.0000  0.2442  4 F 1.49-1.59
F  0.0000  0.0000  0.3021  1 Be 1.49
F  0.0162  0.7308  0.2201  1 Be 1.59

(5)
Dy2ErFe | PBE-GGA | optimized geometry

Calculated values
- theoretical density (g cm⁻³) = 9.10
- M_tot (μB/atom) = 0.0000
- energy of formation from the pure elements (meV/atom) = -17
- relative energy among the computed polymorphs (meV per atom) = 0

Lattice parameters (Å, degrees): 7.0418 9.1364 6.2187 90.00 90.00 90.00
With the nearest neighbours (Å) after each atom.
Space group Pnma (No. 62)
Inequivalent atoms, fractional coordinates:
Dy  0.1742  0.0668  0.1730  2 Fe 2.75-2.91
Er  0.0485  0.2500  0.6394  2 Fe 2.63-2.69
Fe  0.1106  0.7500  0.9669  2 Er 2.63-2.69, 4 Dy 2.75-2.91

(6)
TbMgZnRh | PBE-GGA | optimized geometry

Calculated values
- theoretical density (g cm⁻³) = 7.65
- M_tot (μB/atom) = 0.0000
- energy of formation from the pure elements (meV/atom) = -451

Lattice parameters (Å, degrees): 6.7336 6.7336 6.7336 90.00 90.00 90.00
With the nearest neighbours (Å) after each atom.
Space group F-43m (No. 216)
Inequivalent atoms, fractional coordinates:
Tb  0.0000  0.0000  0.0000  4 Rh 2.92, 4 Zn 2.92
Mg  0.0000  0.0000  0.5000  4 Rh 2.92, 4 Zn 2.92
Zn  0.2500  0.2500  0.2500  4 Tb 2.92, 4 Mg 2.92
Rh  0.2500  0.2500  0.7500  4 Tb 2.92, 4 Mg 2.92

(7)
YTh2Pa | PBE-GGA | optimized geometry

Calculated values
- theoretical density (g cm⁻³) = 10.75
- M_tot (μB/atom) = 0.0000
- energy of formation from the pure elements (meV/atom) = 110
- relative energy among the computed polymorphs (meV per atom) = 25

Lattice parameters (Å, degrees): 3.4764 3.4764 34.7015 90.00 90.00 120.00
With the nearest neighbours (Å) after each atom.
Space group R3m (No. 160, hexagonal axes)
Inequivalent atoms, fractional coordinates:
Y  0.0000  0.0000  0.0000  6 Y 3.48, 6 Th 3.56-3.63
Th  0.0000  0.0000  0.4180  3 Pa 3.43, 6 Th 3.48, 3 Y 3.56
Th  0.0000  0.0000  0.5795  3 Pa 3.46, 6 Th 3.48, 3 Y 3.63
Pa  0.0000  0.0000  0.8316  6 Th 3.43-3.46, 6 Pa 3.48

(8)
NaTm3Pb4 | PBE-GGA | optimized geometry

Calculated values
- theoretical density (g cm⁻³) = 10.28
- M_tot (μB/atom) = 0.0000
- energy of formation from the pure elements (meV/atom) = -314

Lattice parameters (Å, degrees): 7.0618 7.0648 9.4767 90.00 111.79 90.00
With the nearest neighbours (Å) after each atom.
Space group C2/m (No. 12)
Inequivalent atoms, fractional coordinates:
Na  0.0000  0.0000  0.0000  8 Pb 3.32-3.33, 4 Tm 3.53
Tm  0.0000  0.5000  0.0000  8 Pb 3.32-3.33, 4 Na 3.53
Tm  0.2461  0.5000  0.4920  8 Pb 3.28-3.38, 4 Tm 3.53-3.54
Pb  0.1251  0.2499  0.7504  6 Tm 3.28-3.38, 2 Na 3.32-3.33, 4 Pb 3.53

(9)
KMgSi3 | PBE-GGA | optimized geometry

Calculated values
- formation energy without anion corrections (eV/f.u.) = 9.483
- theoretical density (g cm⁻³) = 1.60
- M_tot (μB/atom) = 0.0000
- relative energy among the computed polymorphs (meV per atom) = 1084

Lattice parameters (Å, degrees): 5.3497 5.3497 5.3497 90.00 90.00 90.00
With the nearest neighbours (Å) after each atom.
Space group Pm-3m (No. 221)
Inequivalent atoms, fractional coordinates:
K  0.0000  0.0000  0.0000  6 Si 2.67
Mg  0.5000  0.5000  0.5000  12 Si 3.78
Si  0.0000  0.0000  0.5000  2 K 2.67

(10)
ThMg2ZnSi2 | PBE-GGA | optimized geometry

Calculated values
- formation energy without anion corrections (eV/f.u.) = 1.269
- theoretical density (g cm⁻³) = 4.67
- M_tot (μB/atom) = 0.0000

Lattice parameters (Å, degrees): 5.2523 5.2523 10.3585 90.00 90.00 90.00
With the nearest neighbours (Å) after each atom.
Space group I4/mmm (No. 139)
Inequivalent atoms, fractional coordinates:
Th  0.0000  0.0000  0.0000  2 Si 2.88
Mg  0.0000  0.5000  0.2500  4 Si 2.64
Zn  0.0000  0.0000  0.5000  2 Si 2.30
Si  0.0000  0.0000  0.2779  1 Zn 2.30

(11)
KNi2Ir | PBE-GGA | optimized geometry

Calculated values
- theoretical density (g cm⁻³) = 9.51
- M_tot (μB/atom) = 0.2399
- energy of formation from the pure elements (meV/atom) = 749
- relative energy among the computed polymorphs (meV per atom) = 270

Lattice parameters (Å, degrees): 4.8051 4.8051 2.6373 90.00 90.00 90.00
With the nearest neighbours (Å) after each atom.
Space group P4/mmm (No. 123)
Inequivalent atoms, fractional coordinates:
K  0.0000  0.0000  0.0000  2 K 2.64, 8 Ni 2.74
Ni  0.0000  0.5000  0.5000  2 Ni 2.64, 4 K 2.74, 4 Ir 2.74
Ir  0.5000  0.5000  0.0000  2 Ir 2.64, 8 Ni 2.74

(12)
LiScN2O | PBE-GGA | optimized geometry

Calculated values
- formation energy without anion corrections (eV/f.u.) = -0.195
- theoretical density (g cm⁻³) = 2.09
- M_tot (μB/atom) = 0.8017

Lattice parameters (Å, degrees): 4.3372 4.3372 4.0524 90.00 90.00 90.00
With the nearest neighbours (Å) after each atom.
Space group P4/mmm (No. 123)
Inequivalent atoms, fractional coordinates:
Li  0.0000  0.0000  0.0000  8 N 2.97, 4 O 3.07
Sc  0.5000  0.5000  0.5000  2 O 2.03, 4 N 2.17
N  0.0000  0.5000  0.5000  2 Sc 2.17
O  0.5000  0.5000  0.0000  2 Sc 2.03

Calculated total energy list, top to bottom, in eV/atom: -4.153, -2.349, -4.175, -5.810, -5.574, -4.163, -7.590, -4.010, -1.896, -3.577, -4.631, -6.010